{
  "formula": "HoMg3",
  "functional": "PBE-GGA",
  "state": "optimized geometry",
  "cell": [[5.173, 0.000, 0.000], [0.000, 6.668, 0.001], [0.000, 3.335, 5.774]],
  "species": ["Mg", "Mg", "Mg", "Ho", "Mg", "Mg", "Mg", "Ho"],
  "fractional_positions": [[0.750, 0.163, 0.673], [0.250, 0.837, 0.327], [0.750, 0.673, 0.163], [0.750, 0.667, 0.667], [0.750, 0.163, 0.163], [0.250, 0.837, 0.837], [0.250, 0.327, 0.837], [0.250, 0.333, 0.333]],
  "dft_energy_ev_per_atom": -2.400,
  "spacegroup": "P6_3/mmc, No. 194",
  "rho_g_cm3": 3.97,
  "e_form_ev_per_atom": -0.0594
}